[1]
This record from Alexandria describes an optimized crystal structure of RbZr2Bi2. The functional is PBE-GGA.

Summary:
ΔE_f (meV/atom): -205
Energy above the most stable polymorph in this dataset (meV per atom): 0

Cell lengths 4.7724, 4.7724, 8.4537 Å; angles 73.60, 73.60, 90.00 degrees
Closest atoms and distances in Å follow each position.
Fractional coordinates of all 5 atoms:
Rb 0.0000 0.0000 0.0000  8 Bi 3.96
Bi 0.3663 0.3663 0.2674  4 Zr 2.99
Bi 0.6337 0.6337 0.7326  4 Zr 2.99
Zr 0.7500 0.2500 0.5000  4 Bi 2.99
Zr 0.2500 0.7500 0.5000  4 Bi 2.99

***

[2]
This record from Alexandria describes an optimized crystal structure of RbZr2Bi. The functional is PBE-GGA.

Summary:
ΔE_f (meV/atom): 868

Cell lengths 8.9457, 8.9457, 7.1202 Å; angles 51.08, 51.08, 90.00 degrees
Closest atoms and distances in Å follow each position.
Fractional coordinates of all 8 atoms:
Rb 0.5000 0.5000 0.0000  2 Bi 3.27, 4 Zr 3.60
Rb 0.2500 0.7500 0.5000  2 Bi 3.27, 4 Zr 3.60
Bi 0.0000 0.0000 0.0000  4 Zr 2.97, 2 Rb 3.27
Bi 0.7500 0.2500 0.5000  4 Zr 2.97, 2 Rb 3.27
Zr 0.6763 0.1250 0.2500  2 Bi 2.97
Zr 0.0737 0.6250 0.2500  2 Bi 2.97
Zr 0.3750 0.3237 0.7500  2 Bi 2.97
Zr 0.8750 0.9263 0.7500  2 Bi 2.97

***

[3]
This record from Alexandria describes an optimized crystal structure of RbZrBi3. The functional is PBE-GGA.

Summary:
ΔE_f (meV/atom): -117
Energy above the most stable polymorph in this dataset (meV per atom): 0

Cell lengths 5.7838, 5.7838, 5.7838 Å; angles 90.00, 90.00, 90.00 degrees
Closest atoms and distances in Å follow each position.
Fractional coordinates of all 5 atoms:
Rb 0.5000 0.5000 0.5000  12 Bi 4.09
Bi 0.0000 0.5000 0.0000  2 Zr 2.89
Bi 0.0000 0.0000 0.5000  2 Zr 2.89
Bi 0.5000 0.0000 0.0000  2 Zr 2.89
Zr 0.0000 0.0000 0.0000  6 Bi 2.89

***

[4]
This record from Alexandria describes an optimized crystal structure of ReBi4. The functional is PBE-GGA.

Summary:
ΔE_f (meV/atom): 693

Cell lengths 5.3634, 5.3634, 5.3634 Å; angles 90.00, 90.00, 90.00 degrees
Closest atoms and distances in Å follow each position.
Fractional coordinates of all 5 atoms:
Re 0.5000 0.5000 0.5000  6 Bi 2.68
Bi 0.0000 0.0000 0.0000  12 Bi 3.79
Bi 0.5000 0.0000 0.5000  2 Re 2.68
Bi 0.0000 0.5000 0.5000  2 Re 2.68
Bi 0.5000 0.5000 0.0000  2 Re 2.68

***

[5]
This record from Alexandria describes an optimized crystal structure of Re3Bi. The functional is PBE-GGA.

Summary:
ΔE_f (meV/atom): 987

Cell lengths 6.5089, 6.5089, 4.3066 Å; angles 90.00, 90.00, 120.00 degrees
Closest atoms and distances in Å follow each position.
Fractional coordinates of all 8 atoms:
Re 0.1357 0.2714 0.2500  6 Re 2.64-2.65
Re 0.7286 0.8643 0.2500  6 Re 2.64-2.65
Re 0.1357 0.8643 0.2500  6 Re 2.64-2.65
Re 0.8643 0.7286 0.7500  6 Re 2.64-2.65
Re 0.2714 0.1357 0.7500  6 Re 2.64-2.65
Re 0.8643 0.1357 0.7500  6 Re 2.64-2.65
Bi 0.3333 0.6667 0.7500  12 Re 3.10-3.27
Bi 0.6667 0.3333 0.2500  12 Re 3.10-3.27

***

[6]
This record from Alexandria describes an optimized crystal structure of ReBi2Rh. The functional is PBE-GGA.

Summary:
ΔE_f (meV/atom): 1064
Energy above the most stable polymorph in this dataset (meV per atom): 408

Cell lengths 6.1482, 6.1482, 7.5361 Å; angles 65.93, 65.93, 90.00 degrees
Closest atoms and distances in Å follow each position.
Fractional coordinates of all 8 atoms:
Re 0.0000 0.0000 0.0000  4 Bi 2.67
Re 0.7500 0.2500 0.5000  4 Bi 2.67
Rh 0.5000 0.5000 0.0000  4 Bi 2.66
Rh 0.2500 0.7500 0.5000  4 Bi 2.66
Bi 0.6241 0.1250 0.2500  2 Rh 2.66, 2 Re 2.67
Bi 0.1259 0.6250 0.2500  2 Rh 2.66, 2 Re 2.67
Bi 0.3750 0.3759 0.7500  2 Rh 2.66, 2 Re 2.67
Bi 0.8750 0.8741 0.7500  2 Rh 2.66, 2 Re 2.67

***

[7]
This record from Alexandria describes an optimized crystal structure of ReBi3Rh. The functional is PBE-GGA.

Summary:
ΔE_f (meV/atom): 1143
Energy above the most stable polymorph in this dataset (meV per atom): 0

Cell lengths 5.2563, 5.2563, 5.2563 Å; angles 90.00, 90.00, 90.00 degrees
Closest atoms and distances in Å follow each position.
Fractional coordinates of all 5 atoms:
Re 0.0000 0.0000 0.0000  6 Bi 2.63
Rh 0.5000 0.5000 0.5000  12 Bi 3.72
Bi 0.0000 0.5000 0.0000  2 Re 2.63
Bi 0.0000 0.0000 0.5000  2 Re 2.63
Bi 0.5000 0.0000 0.0000  2 Re 2.63

***

[8]
This record from Alexandria describes an optimized crystal structure of ReBiRh. The functional is PBE-GGA.

Summary:
ΔE_f (meV/atom): 661

Cell lengths 3.0805, 3.0806, 13.3908 Å; angles 90.00, 90.00, 120.00 degrees
Closest atoms and distances in Å follow each position.
Fractional coordinates of all 6 atoms:
Rh 0.4445 0.8890 0.0000  6 Bi 2.88, 6 Rh 3.08
Rh 0.4446 0.8892 0.5000  6 Re 2.67
Re 0.7779 0.5558 0.3510  3 Rh 2.67
Re 0.7779 0.5558 0.6490  3 Rh 2.67
Bi 0.1109 0.2217 0.8309  3 Rh 2.88, 3 Re 3.01-3.02, 6 Bi 3.08
Bi 0.1109 0.2217 0.1691  3 Rh 2.88, 3 Re 3.01-3.02, 6 Bi 3.08

***

[9]
This record from Alexandria describes an optimized crystal structure of ReBi2Rh. The functional is PBE-GGA.

Summary:
ΔE_f (meV/atom): 657
Energy above the most stable polymorph in this dataset (meV per atom): 0

Cell lengths 4.8445, 4.8445, 4.8445 Å; angles 60.00, 60.00, 60.00 degrees
Closest atoms and distances in Å follow each position.
Fractional coordinates of all 4 atoms:
Re 0.5000 0.5000 0.5000  8 Bi 2.97
Rh 0.0000 0.0000 0.0000  8 Bi 2.97
Bi 0.2500 0.2500 0.2500  4 Re 2.97, 4 Rh 2.97
Bi 0.7500 0.7500 0.7500  4 Re 2.97, 4 Rh 2.97

***

[10]
This record from Alexandria describes an optimized crystal structure of SrReBi2Rh. The functional is PBE-GGA.

Summary:
ΔE_f (meV/atom): 2401

Cell lengths 5.8377, 5.8377, 5.1009 Å; angles 90.00, 90.00, 90.00 degrees
Closest atoms and distances in Å follow each position.
Fractional coordinates of all 5 atoms:
Re 0.0000 0.0000 0.5000  2 Sr 2.55
Rh 0.5000 0.5000 0.5000  8 Bi 3.88, 4 Re 4.13
Bi 0.0000 0.5000 0.0000  2 Sr 2.92
Bi 0.5000 0.0000 0.0000  2 Sr 2.92
Sr 0.0000 0.0000 0.0000  2 Re 2.55

***

[11]
This record from Alexandria describes an optimized crystal structure of ReBi2TeRh. The functional is PBE-GGA.

Cell lengths 5.3519, 5.3519, 4.8237 Å; angles 90.00, 90.00, 90.00 degrees
Closest atoms and distances in Å follow each position.
Fractional coordinates of all 5 atoms:
Re 0.0000 0.0000 0.0000  2 Rh 2.41, 4 Bi 2.68
Te 0.5000 0.5000 0.5000  8 Bi 3.60, 4 Rh 3.78
Rh 0.0000 0.0000 0.5000  2 Re 2.41
Bi 0.0000 0.5000 0.0000  2 Re 2.68
Bi 0.5000 0.0000 0.0000  2 Re 2.68

***

[12]
This record from Alexandria describes an optimized crystal structure of TlReBiRh2. The functional is PBE-GGA.

Summary:
ΔE_f (meV/atom): 2182

Cell lengths 4.9503, 5.5355, 4.9503 Å; angles 90.00, 90.00, 90.00 degrees
Closest atoms and distances in Å follow each position.
Fractional coordinates of all 5 atoms:
Re 0.5000 0.5000 0.5000  4 Bi 3.50, 8 Rh 3.71
Tl 0.0000 0.0000 0.0000  4 Rh 2.48, 2 Bi 2.77
Rh 0.0000 0.0000 0.5000  2 Tl 2.48
Rh 0.5000 0.0000 0.0000  2 Tl 2.48
Bi 0.0000 0.5000 0.0000  2 Tl 2.77

***

[13]
This record from Alexandria describes an optimized crystal structure of ZrReBiRh2. The functional is PBE-GGA.

Summary:
ΔE_f (meV/atom): 978

Cell lengths 4.7174, 5.2082, 4.7174 Å; angles 90.00, 90.00, 90.00 degrees
Closest atoms and distances in Å follow each position.
Fractional coordinates of all 5 atoms:
Re 0.0000 0.0000 0.0000  4 Rh 2.36, 2 Bi 2.60
Rh 0.0000 0.0000 0.5000  2 Re 2.36
Rh 0.5000 0.0000 0.0000  2 Re 2.36
Bi 0.0000 0.5000 0.0000  2 Re 2.60
Zr 0.5000 0.5000 0.5000  4 Bi 3.34, 8 Rh 3.51

***

[14]
This record from Alexandria describes an optimized crystal structure of Re2BiRu. The functional is PBE-GGA.

Summary:
ΔE_f (meV/atom): 1560
Energy above the most stable polymorph in this dataset (meV per atom): 611

Cell lengths 5.8763, 5.8763, 7.1718 Å; angles 65.82, 65.82, 90.00 degrees
Closest atoms and distances in Å follow each position.
Fractional coordinates of all 8 atoms:
Re 0.5760 0.1250 0.2500  2 Ru 2.39
Re 0.1740 0.6250 0.2500  2 Ru 2.39
Re 0.3750 0.4240 0.7500  2 Ru 2.39
Re 0.8750 0.8260 0.7500  2 Ru 2.39
Bi 0.0000 0.0000 0.0000  4 Re 2.72
Bi 0.7500 0.2500 0.5000  4 Re 2.72
Ru 0.5000 0.5000 0.0000  4 Re 2.39
Ru 0.2500 0.7500 0.5000  4 Re 2.39

***

Looking at magnetization for the records above, in order, we have 0.00 2.81 0.00 0.00 0.00 0.00 0.00 0.00 0.44 3.44 0.00 3.64 0.00 0.00 Bohr magnetons per cell.
Looking at E for the records above, in order, we have -5.370 -4.618 -4.349 -4.902 -9.320 -5.826 -5.145 -7.233 -6.234 -3.448 -5.259 -4.498 -6.938 -7.953 eV per atom.
Looking at ρ for the records above, in order, we have 6.5 6.1 6.9 11.0 16.1 10.1 10.5 15.0 14.6 7.6 10.0 9.9 9.9 11.2 g/cm3.